# CaSbAs2

A PBEsol-optimized structure of CaSbAs2 (meta-GGA SCAN, the Alexandria database).

Values from the calculation:
E_form (uncorrected)   -413 meV/atom

a b c (Å): 4.259 4.950 5.544
angles (deg): 63.49 90.00 90.00
Fractional coordinates of all 4 atoms:
Sb: 0.500 0.000 0.000
As: 0.000 0.202 0.596
As: 0.000 0.798 0.404
Ca: 0.000 0.500 0.000

# Ta2CrIn

A PBEsol-optimized structure of Ta2CrIn (meta-GGA SCAN, the Alexandria database).

Values from the calculation:
Calculated formation energy   0.25 eV per atom

a b c (Å): 4.570 4.570 4.570
angles (deg): 60.00 60.00 60.00
Fractional coordinates of all 4 atoms:
Cr: 0.500 0.500 0.500
In: 0.250 0.250 0.250
Ta: 0.000 0.000 0.000
Ta: 0.750 0.750 0.750

Magnetic moment: 0.00 1.98 (μB per cell)
Mass density: 4.95 13.01 (g/cm³)